! Ce2SF4 (PBE-GGA, optimized geometry); values from VASP
! DOS(E_F)   28.71 states/eV/cell
! Formation energy from raw total energies   -3.516 eV per atom
&SYSTEM
  ibrav = 0, nat = 14, ntyp = 3
/
ATOMIC_SPECIES
Ce 140.12 Ce.upf
S 32.06 S.upf
F 19.00 F.upf
CELL_PARAMETERS angstrom
7.4690 0.0000 0.0000
0.0000 7.4690 0.0000
0.0000 0.0000 3.9257
ATOMIC_POSITIONS crystal
Ce 0.2182 0.2182 0.0000
Ce 0.2818 0.7182 0.5000
Ce 0.7182 0.2818 0.5000
Ce 0.7818 0.7818 0.0000
S 0.0000 0.0000 0.5000
S 0.5000 0.5000 0.0000
F 0.0890 0.6681 0.0000
F 0.1681 0.4110 0.5000
F 0.3319 0.9110 0.0000
F 0.4110 0.1681 0.5000
F 0.5890 0.8319 0.5000
F 0.6681 0.0890 0.0000
F 0.8319 0.5890 0.5000
F 0.9110 0.3319 0.0000